Compound: ZrZn2Au
Source: Alexandria
Functional: GGA-PBE
Structure: relaxed

Computed properties:
The calculation puts the formation energy at -35 meV/atom. The value obtained for the density of states at the Fermi level is 2.3 states/eV/f.u. Its space group is I-42d (122). As for the crystal system: tetragonal. As for the total energy: -3.6282 eV per atom.

Cell lengths 7.386, 7.386, 5.936 Å; angles 51.53, 51.53, 90.00 degrees
Atoms (fractional coordinates):
Zr 0.500 0.500 0.000
Zr 0.250 0.750 0.500
Zn 0.648 0.125 0.250
Zn 0.375 0.352 0.750
Zn 0.102 0.625 0.250
Zn 0.875 0.898 0.750
Au 0.000 0.000 0.000
Au 0.750 0.250 0.500